Below is a relaxed structure of Ti6BiS, with properties calculated at the PBE-GGA level.

Summary:
**Symmetry**: C2/m, No. 12
**Uncorrected energy**: -57.67 eV per cell
**E_form (uncorrected)**: -0.2860 eV/atom

Cell: 5.1589 6.6838 5.4190 Å, 73.49 78.28 52.56°
Fractional positions:
Bi 0.5000 0.5000 0.5000
Ti 0.1236 0.2791 0.7210
Ti 0.1720 0.0759 0.3146
Ti 0.8764 0.7209 0.2790
Ti 0.8280 0.9241 0.6854
S 0.0000 0.0000 0.0000
Ti 0.5626 0.6853 0.9238
Ti 0.4374 0.3147 0.0762

=====

Below is a relaxed structure of Ti4BiS8, with properties calculated at the PBE-GGA level.

Summary:
**Symmetry**: F-43m, No. 216
**Uncorrected energy**: -82.75 eV per cell
**E_form (uncorrected)**: -1.0977 eV/atom
**Offset from the most stable computed form**: 36 meV per atom

Cell: 7.3706 7.3706 7.3706 Å, 60.00 60.00 60.00°
Site moments in Bohr magnetons follow the coordinates.
Fractional positions:
S 0.1864 0.6045 0.6045  -0.03
Ti 0.3611 0.3611 0.9168  0.65
S 0.1305 0.1305 0.1305  -0.03
S 0.6045 0.6045 0.1864  -0.03
Ti 0.9168 0.3611 0.3611  0.65
S 0.1305 0.1305 0.6084  -0.03
Ti 0.3611 0.9168 0.3611  0.65
Bi 0.7500 0.7500 0.7500  0.03
S 0.6084 0.1305 0.1305  -0.03
S 0.1305 0.6084 0.1305  -0.03
S 0.6045 0.1864 0.6045  -0.03
Ti 0.3611 0.3611 0.3611  0.65
S 0.6045 0.6045 0.6045  -0.03

=====

Below is a relaxed structure of TiBiS2, with properties calculated at the PBE-GGA level.

Summary:
**Symmetry**: C2/m, No. 12
**Uncorrected energy**: -23.85 eV per cell
**E_form (uncorrected)**: -0.9560 eV/atom

Cell: 3.4411 3.4412 9.4772 Å, 89.83 68.89 120.01°
Fractional positions:
S 0.5979 0.3893 0.0996
S 0.7083 0.9477 0.7658
Bi 0.1531 0.1687 0.4327
Ti 0.1531 0.1685 0.9327

=====

Below is a relaxed structure of TiBiS2, with properties calculated at the PBE-GGA level.

Summary:
**Symmetry**: P4/mmm, No. 123
**Uncorrected energy**: -21.12 eV per cell
**E_form (uncorrected)**: -0.2715 eV/atom

Cell: 3.9526 3.9526 5.6380 Å, 90.00 90.00 90.00°
Site moments in Bohr magnetons follow the coordinates.
Fractional positions:
Ti 0.0000 0.0000 0.5000  1.69
S 0.0000 0.0000 0.0000  -0.01
S 0.5000 0.5000 0.5000  -0.03
Bi 0.5000 0.5000 0.0000  0.07